Entry from Alexandria: an optimized crystal structure of TiSO2F (PBE).

Lattice parameters (Å, degrees): 3.9115 3.9115 4.0607 90.00 90.00 90.00
Last column: nearest neighbours and their distance in Å.
Fractional coordinates of all 5 atoms:
Ti (0.0000, 0.0000, 0.0000)  4 O 1.96, 2 F 2.03
S (0.5000, 0.5000, 0.5000)  4 F 2.77, 8 O 2.82
O (0.0000, 0.5000, 0.0000)  2 Ti 1.96
O (0.5000, 0.0000, 0.0000)  2 Ti 1.96
F (0.0000, 0.0000, 0.5000)  2 Ti 2.03

Symmetry: P4/mmm (123)

***

Entry from Alexandria: an optimized crystal structure of Ba2PmCdO5 (PBE).

Lattice parameters (Å, degrees): 7.8132 7.8132 11.4331 90.00 90.00 152.56
Last column: nearest neighbours and their distance in Å.
Fractional coordinates of all 18 atoms:
Ba (0.1117, 0.8883, 0.5000)  5 O 2.67-2.89
Ba (0.1306, 0.8694, 0.0960)  6 O 2.70-2.85
Ba (0.8694, 0.1306, 0.5960)  6 O 2.70-2.85
Ba (0.8883, 0.1117, 0.0000)  5 O 2.67-2.89
Pm (0.2139, 0.7861, 0.8076)  6 O 2.30-2.43
Pm (0.7861, 0.2139, 0.3076)  6 O 2.30-2.43
Cd (0.4835, 0.5165, 0.2801)  4 O 2.20-2.31
Cd (0.5165, 0.4835, 0.7801)  4 O 2.20-2.31
O (0.0618, 0.9382, 0.8637)  2 Cd 2.20, 1 Pm 2.40
O (0.2825, 0.7175, 0.4453)  2 Pm 2.43, 1 Ba 2.67
O (0.3034, 0.6966, 0.1774)  2 Pm 2.39
O (0.3656, 0.6344, 0.8083)  1 Pm 2.30, 1 Cd 2.31
O (0.4983, 0.5017, 0.5895)  1 Cd 2.20
O (0.5017, 0.4983, 0.0895)  1 Cd 2.20
O (0.6344, 0.3656, 0.3083)  1 Pm 2.30, 1 Cd 2.31
O (0.6966, 0.3034, 0.6774)  2 Pm 2.39
O (0.7175, 0.2825, 0.9453)  2 Pm 2.43, 1 Ba 2.67
O (0.9382, 0.0618, 0.3637)  2 Cd 2.20, 1 Pm 2.40

Symmetry: Cmc2_1 (36)

***

Entry from Alexandria: an optimized crystal structure of Ba5Fe4S11 (PBE).

Lattice parameters (Å, degrees): 15.8770 7.4327 8.9210 90.00 90.00 90.00
Last column: nearest neighbours and their distance in Å.
Fractional coordinates of all 40 atoms:
Ba (0.0000, 0.0151, 0.0000)  8 S 3.18-3.52, 1 Fe 3.49
Ba (0.1717, 0.4850, 0.2470)  6 S 3.14-3.43
Ba (0.1996, 0.9851, 0.6182)  8 S 3.18-3.45
Ba (0.3004, 0.0149, 0.1182)  8 S 3.18-3.45
Ba (0.3283, 0.5150, 0.7470)  6 S 3.14-3.43
Ba (0.5000, 0.9849, 0.5000)  8 S 3.18-3.52, 1 Fe 3.49
Ba (0.6717, 0.5150, 0.7470)  6 S 3.14-3.43
Ba (0.6996, 0.0149, 0.1182)  8 S 3.18-3.45
Ba (0.8004, 0.9851, 0.6182)  8 S 3.18-3.45
Ba (0.8283, 0.4850, 0.2470)  6 S 3.14-3.43
Fe (0.0000, 0.6686, 0.5728)  4 S 2.20-2.29
Fe (0.0000, 0.9686, 0.3896)  4 S 2.24-2.29
Fe (0.1078, 0.5084, 0.8477)  4 S 2.21-2.24
Fe (0.3922, 0.4916, 0.3477)  4 S 2.21-2.24
Fe (0.5000, 0.0314, 0.8896)  4 S 2.24-2.29
Fe (0.5000, 0.3314, 0.0728)  4 S 2.20-2.29
Fe (0.6078, 0.4916, 0.3477)  4 S 2.21-2.24
Fe (0.8922, 0.5084, 0.8477)  4 S 2.21-2.24
S (0.0000, 0.4600, 0.9991)  2 Fe 2.21
S (0.0000, 0.6708, 0.3259)  2 Fe 2.20-2.29
S (0.0000, 0.9639, 0.6461)  2 Fe 2.29
S (0.1199, 0.0789, 0.2946)  1 Fe 2.24
S (0.1289, 0.5516, 0.6015)  2 Fe 2.24
S (0.1714, 0.7480, 0.9472)  1 Fe 2.23
S (0.1803, 0.2587, 0.8948)  1 Fe 2.22
S (0.3197, 0.7413, 0.3948)  1 Fe 2.22
S (0.3286, 0.2520, 0.4472)  1 Fe 2.23
S (0.3711, 0.4484, 0.1015)  2 Fe 2.24
S (0.3801, 0.9211, 0.7946)  1 Fe 2.24
S (0.5000, 0.0361, 0.1461)  2 Fe 2.29
S (0.5000, 0.3292, 0.8259)  2 Fe 2.20-2.29
S (0.5000, 0.5400, 0.4991)  2 Fe 2.21
S (0.6199, 0.9211, 0.7946)  1 Fe 2.24
S (0.6289, 0.4484, 0.1015)  2 Fe 2.24
S (0.6714, 0.2520, 0.4472)  1 Fe 2.23
S (0.6803, 0.7413, 0.3948)  1 Fe 2.22
S (0.8197, 0.2587, 0.8948)  1 Fe 2.22
S (0.8286, 0.7480, 0.9472)  1 Fe 2.23
S (0.8711, 0.5516, 0.6015)  2 Fe 2.24
S (0.8801, 0.0789, 0.2946)  1 Fe 2.24

Symmetry: Pmn2_1 (31)

***

Across the entries above, magnetic moment takes the values 2.9, 1.1, 15.8 μB/f.u., respectively.
Across the entries above, E takes the values -6.203, -6.031, -5.648 eV per atom, respectively.